CeCrSeO2 | Alexandria | PBE with a Hubbard U | relaxed; size of the total moment = 8.2 Bohr magnetons per cell; electronic total energy = -7.5299 eV per atom; V = 17.30 A^3/atom
1.0
2.7161 -5.8578 0.0000
2.7161 5.8578 0.0000
0.0000 0.0000 5.4356
Ce Cr Se O
2 2 2 4
Cartesian
2.7161 4.5530 4.0767
2.7161 -4.5530 1.3589
2.7161 0.5818 4.0767
2.7161 -0.5818 1.3589
2.7161 2.9063 1.3589
2.7161 -2.9063 4.0767
1.3219 0.0000 0.0000
1.3219 0.0000 2.7178
4.1103 0.0000 0.0000
4.1103 0.0000 2.7178